# 1
VASP calculation (PBE) on a relaxed Hf7NbIn4 crystal.

Results
Total energy: -7.2763 eV/atom
Density of states at the Fermi level: 1.0222 states/eV/atom
Crystal system: monoclinic

Unit cell a=5.009 b=11.089 c=5.842 alpha=78.83 beta=64.62 gamma=76.95
Element x y z (fractional)
1 Hf 0.341 0.530 0.789
2 Hf 0.659 0.470 0.211
3 In 0.367 0.783 0.482
4 Hf 0.994 0.370 0.641
5 Hf 0.790 0.923 0.498
6 Nb 0.000 0.000 0.000
7 In 0.318 0.286 0.077
8 Hf 0.500 0.000 0.000
9 Hf 0.006 0.630 0.359
10 In 0.633 0.217 0.518
11 In 0.682 0.714 0.923
12 Hf 0.210 0.077 0.502

# 2
VASP calculation (PBE) on a relaxed Hf6NbIn5 crystal.

Results
Total energy: -6.9965 eV/atom
Density of states at the Fermi level: 0.7947 states/eV/atom
Crystal system: monoclinic

Unit cell a=10.100 b=5.547 c=5.536 alpha=59.93 beta=84.85 gamma=79.68
Element x y z (fractional)
1 Hf 0.244 0.919 0.663
2 Nb 0.000 0.000 0.000
3 In 0.000 0.333 0.334
4 Hf 0.756 0.418 0.663
5 In 0.500 0.167 0.666
6 Hf 0.244 0.582 0.337
7 Hf 0.757 0.745 0.000
8 In 0.500 0.833 0.334
9 In 0.000 0.667 0.666
10 In 0.500 0.500 0.000
11 Hf 0.756 0.081 0.337
12 Hf 0.243 0.255 0.000

# 3
VASP calculation (PBE) on a relaxed HfNbIn crystal.

Results
Total energy: -7.6205 eV/atom
Density of states at the Fermi level: 0.9674 states/eV/atom
Crystal system: tetragonal

Unit cell a=3.585 b=3.585 c=5.449 alpha=109.21 beta=109.21 gamma=90.00
Element x y z (fractional)
1 Nb 0.285 0.285 0.570
2 Hf 0.944 0.944 0.887
3 In 0.621 0.621 0.243

# 4
VASP calculation (PBE) on a relaxed HfNbInO6 crystal.

Results
Formation energy from raw total energies: -2.545 eV/atom
Density of states at the Fermi level: 0.0000 states/eV/atom
Crystal system: trigonal

Unit cell a=5.356 b=5.356 c=9.251 alpha=90.00 beta=90.00 gamma=120.00
Element x y z (fractional)
1 O 0.657 0.648 0.634
2 Nb 0.333 0.667 0.250
3 O 0.648 0.657 0.134
4 In 0.000 0.000 0.000
5 O 0.352 0.343 0.866
6 O 0.352 0.009 0.634
7 O 0.009 0.352 0.134
8 Hf 0.667 0.333 0.250
9 O 0.991 0.648 0.866
10 O 0.343 0.991 0.134
11 O 0.343 0.352 0.366
12 Hf 0.333 0.667 0.750
13 Nb 0.667 0.333 0.750
14 In 0.000 0.000 0.500
15 O 0.648 0.991 0.366
16 O 0.991 0.343 0.634
17 O 0.009 0.657 0.366
18 O 0.657 0.009 0.866

# 5
VASP calculation (PBE) on a relaxed Hf2NbInO crystal.

Results
Formation energy from raw total energies: 1.183 eV/atom
Density of states at the Fermi level: 0.9892 states/eV/atom
Crystal system: tetragonal

Unit cell a=5.006 b=5.313 c=5.006 alpha=90.00 beta=90.00 gamma=90.00
Element x y z (fractional)
1 Nb 0.000 0.000 0.000
2 In 0.000 0.500 0.000
3 O 0.500 0.500 0.500
4 Hf 0.500 0.000 0.000
5 Hf 0.000 0.000 0.500

# 6
VASP calculation (PBE) on a relaxed HfPaNbIn crystal.

Results
Total energy: -7.9668 eV/atom
Density of states at the Fermi level: 1.7630 states/eV/atom
Crystal system: cubic

Unit cell a=4.951 b=4.951 c=4.951 alpha=60.00 beta=60.00 gamma=60.00
Element x y z (fractional)
1 Pa 0.500 0.500 0.500
2 Hf 0.250 0.250 0.250
3 In 0.000 0.000 0.000
4 Nb 0.750 0.750 0.750

| no. | magnetization (Bohr magnetons per cell) |
| --- | --- |
| 1 | 0.00 |
| 2 | 0.00 |
| 3 | 0.00 |
| 4 | 0.00 |
| 5 | 0.00 |
| 6 | 0.00 |